(1)
Entry from Alexandria via LeMat-Bulk: SiAg2Rh after structural relaxation (GGA-PBE). Values from VASP.

Total energy   -17.4 eV per cell
Raw formation energy   0.2726 eV per atom
Density of states at the Fermi level   3.90 states/eV/f.u.
SG   R-3m (166)
Size of the total moment   0.58 μB per formula unit

Geometry as Quantum ESPRESSO input:
```
&SYSTEM
  ibrav = 0, nat = 4, ntyp = 3
/
ATOMIC_SPECIES
Ag 107.87 Ag.upf
Rh 102.91 Rh.upf
Si 28.09 Si.upf
CELL_PARAMETERS angstrom
9.235 0.000 0.000
8.795 2.817 0.000
8.795 1.374 2.460
ATOMIC_POSITIONS crystal
Ag 0.002 0.002 0.002
Ag 0.498 0.498 0.498
Rh 0.250 0.250 0.250
Si 0.750 0.750 0.750
```

(2)
Entry from Alexandria via LeMat-Bulk: Pa2AlC3 after structural relaxation (GGA-PBE). Values from VASP.

Total energy   -207.5 eV per cell
Density of states at the Fermi level   3.31 states/eV/f.u.
SG   C2/c (15)
Size of the total moment   0.00 μB per formula unit
Energy relative to the elements   -0.244 eV per atom

Geometry as Quantum ESPRESSO input:
```
&SYSTEM
  ibrav = 0, nat = 24, ntyp = 3
/
ATOMIC_SPECIES
Pa 231.04 Pa.upf
Al 26.98 Al.upf
C 12.01 C.upf
CELL_PARAMETERS angstrom
5.396 0.000 0.443
2.698 5.484 0.221
0.123 0.000 11.647
ATOMIC_POSITIONS crystal
Pa 0.562 0.412 0.348
Pa 0.025 0.412 0.152
Pa 0.438 0.588 0.652
Pa 0.975 0.588 0.848
Pa 0.342 0.792 0.076
Pa 0.866 0.792 0.424
Pa 0.658 0.208 0.924
Pa 0.134 0.208 0.576
Al 0.712 0.004 0.165
Al 0.284 0.004 0.335
Al 0.288 0.996 0.835
Al 0.716 0.996 0.665
C 0.627 0.747 0.250
C 0.373 0.253 0.750
C 0.498 0.377 0.130
C 0.125 0.377 0.370
C 0.502 0.623 0.870
C 0.875 0.623 0.630
C 0.671 0.197 0.519
C 0.132 0.197 0.981
C 0.329 0.803 0.481
C 0.868 0.803 0.019
C 0.994 0.013 0.250
C 0.006 0.987 0.750
```

(3)
Entry from Alexandria via LeMat-Bulk: CaIn3Ga3I8 after structural relaxation (GGA-PBE). Values from VASP.

Total energy   -41.4 eV per cell
Raw formation energy   -0.6455 eV per atom
SG   R-3m (166)
Size of the total moment   0.00 μB per formula unit

Geometry as Quantum ESPRESSO input:
```
&SYSTEM
  ibrav = 0, nat = 15, ntyp = 4
/
ATOMIC_SPECIES
Ca 40.08 Ca.upf
In 114.82 In.upf
Ga 69.72 Ga.upf
I 126.90 I.upf
CELL_PARAMETERS angstrom
-3.624 -6.696 5.671
-2.842 0.613 -9.040
8.977 -3.208 1.949
ATOMIC_POSITIONS crystal
Ca 0.000 0.000 0.500
In 0.000 0.000 0.000
In 0.000 0.500 0.000
In 0.500 0.500 0.000
Ga 0.500 0.000 0.500
Ga 0.500 0.500 0.500
Ga 0.000 0.500 0.500
I 0.256 0.511 0.267
I 0.744 0.489 0.733
I 0.766 0.533 0.277
I 0.234 0.467 0.723
I 0.766 0.011 0.277
I 0.234 0.989 0.723
I 0.244 0.011 0.277
I 0.756 0.989 0.723
```

(4)
Entry from Alexandria via LeMat-Bulk: Pu6OsRh2 after structural relaxation (GGA-PBE). Values from VASP.

Total energy   -110.9 eV per cell
SG   P-31m (162)
Size of the total moment   0.00 μB per formula unit
Energy relative to the elements   0.116 eV per atom

Geometry as Quantum ESPRESSO input:
```
&SYSTEM
  ibrav = 0, nat = 9, ntyp = 3
/
ATOMIC_SPECIES
Pu 244.00 Pu.upf
Os 190.23 Os.upf
Rh 102.91 Rh.upf
CELL_PARAMETERS angstrom
2.791 0.000 0.000
0.000 7.797 0.000
0.000 -3.899 6.753
ATOMIC_POSITIONS crystal
Pu 0.082 0.670 0.670
Pu 0.082 0.000 0.330
Pu 0.082 0.330 0.000
Pu 0.918 0.330 0.330
Pu 0.918 0.000 0.670
Pu 0.918 0.670 0.000
Os 0.500 0.000 0.000
Rh 0.499 0.667 0.333
Rh 0.501 0.333 0.667
```

(5)
Entry from Alexandria via LeMat-Bulk: RbTi3Mo after structural relaxation (GGA-PBE). Values from VASP.

Total energy   -30.5 eV per cell
Density of states at the Fermi level   7.82 states/eV/f.u.
SG   Pm-3m (221)
Size of the total moment   1.40 μB per formula unit
Energy relative to the elements   0.997 eV per atom

Geometry as Quantum ESPRESSO input:
```
&SYSTEM
  ibrav = 0, nat = 5, ntyp = 3
/
ATOMIC_SPECIES
Mo 95.94 Mo.upf
Rb 85.47 Rb.upf
Ti 47.87 Ti.upf
CELL_PARAMETERS angstrom
-3.483 -1.515 -3.236
1.969 -4.585 0.027
-2.982 -1.258 3.798
ATOMIC_POSITIONS crystal
Mo 0.000 0.000 0.000
Rb 0.500 0.500 0.500
Ti 0.000 0.500 0.000
Ti 0.000 0.000 0.500
Ti 0.500 0.000 0.000
```

(6)
Entry from Alexandria via LeMat-Bulk: Cs4Tl3SnCl8 after structural relaxation (GGA-PBE). Values from VASP.

Total energy   -51.1 eV per cell
Raw formation energy   -1.3605 eV per atom
Density of states at the Fermi level   0.04 states/eV/f.u.
SG   C2/m (12)
Size of the total moment   1.00 μB per formula unit

Geometry as Quantum ESPRESSO input:
```
&SYSTEM
  ibrav = 0, nat = 16, ntyp = 4
/
ATOMIC_SPECIES
Cs 132.91 Cs.upf
Tl 204.38 Tl.upf
Sn 118.71 Sn.upf
Cl 35.45 Cl.upf
CELL_PARAMETERS angstrom
-2.523 -4.447 7.839
8.806 0.813 3.295
-5.319 8.004 -2.758
ATOMIC_POSITIONS crystal
Cs 0.500 0.000 0.000
Cs 0.500 0.000 0.500
Cs 0.000 0.000 0.000
Cs 0.000 0.000 0.500
Tl 0.500 0.500 0.000
Tl 0.500 0.500 0.500
Tl 0.000 0.500 0.500
Sn 0.000 0.500 0.000
Cl 0.223 0.708 0.980
Cl 0.271 0.754 0.542
Cl 0.255 0.269 0.511
Cl 0.757 0.708 0.980
Cl 0.243 0.292 0.020
Cl 0.745 0.731 0.489
Cl 0.729 0.246 0.458
Cl 0.777 0.292 0.020
```

(7)
Entry from Alexandria via LeMat-Bulk: LaI2O2 after structural relaxation (GGA-PBE). Values from VASP.

Total energy   -19.6 eV per cell
Raw formation energy   -0.3346 eV per atom
Density of states at the Fermi level   2.64 states/eV/f.u.
SG   P4/mmm (123)
Size of the total moment   0.00 μB per formula unit

Geometry as Quantum ESPRESSO input:
```
&SYSTEM
  ibrav = 0, nat = 5, ntyp = 3
/
ATOMIC_SPECIES
I 126.90 I.upf
O 16.00 O.upf
La 138.91 La.upf
CELL_PARAMETERS angstrom
4.356 0.000 0.000
0.000 4.356 0.000
0.000 0.000 6.732
ATOMIC_POSITIONS crystal
I 0.000 0.000 0.000
I 0.000 0.000 0.500
O 0.000 0.500 0.000
O 0.500 0.000 0.000
La 0.500 0.500 0.500
```

(8)
Entry from Alexandria via LeMat-Bulk: Be2Zn2SbO6 after structural relaxation (GGA-PBE). Values from VASP.

Total energy   -61.9 eV per cell
Raw formation energy   -1.6424 eV per atom
Density of states at the Fermi level   2.73 states/eV/f.u.
SG   P-3 (147)
Size of the total moment   0.00 μB per formula unit

Geometry as Quantum ESPRESSO input:
```
&SYSTEM
  ibrav = 0, nat = 11, ntyp = 4
/
ATOMIC_SPECIES
Be 9.01 Be.upf
Zn 65.41 Zn.upf
Sb 121.76 Sb.upf
O 16.00 O.upf
CELL_PARAMETERS angstrom
-4.529 -1.954 1.491
1.588 -0.598 -4.865
2.780 -5.259 1.553
ATOMIC_POSITIONS crystal
Be 0.333 0.667 0.788
Be 0.667 0.333 0.212
Zn 0.333 0.667 0.261
Zn 0.667 0.333 0.739
Sb 0.000 0.000 0.000
O 0.308 0.353 0.792
O 0.045 0.692 0.792
O 0.647 0.955 0.792
O 0.692 0.647 0.208
O 0.955 0.308 0.208
O 0.353 0.045 0.208
```

(9)
Entry from Alexandria via LeMat-Bulk: Ac3Pr3TlCd2 after structural relaxation (GGA-PBE). Values from VASP.

Total energy   -32.1 eV per cell
Density of states at the Fermi level   11.61 states/eV/f.u.
SG   P-62m (189)
Size of the total moment   0.00 μB per formula unit
Energy relative to the elements   -0.143 eV per atom

Geometry as Quantum ESPRESSO input:
```
&SYSTEM
  ibrav = 0, nat = 9, ntyp = 4
/
ATOMIC_SPECIES
Ac 227.00 Ac.upf
Pr 140.91 Pr.upf
Tl 204.38 Tl.upf
Cd 112.41 Cd.upf
CELL_PARAMETERS angstrom
-3.281 1.229 1.767
-5.225 -5.573 -5.828
3.205 -3.471 8.367
ATOMIC_POSITIONS crystal
Ac 0.500 0.714 0.000
Ac 0.500 0.000 0.714
Ac 0.500 0.286 0.286
Pr 0.000 0.613 0.613
Pr 0.000 0.000 0.387
Pr 0.000 0.387 0.000
Tl 0.000 0.000 0.000
Cd 0.500 0.667 0.333
Cd 0.500 0.333 0.667
```

(10)
Entry from Alexandria via LeMat-Bulk: ZrCdSN2 after structural relaxation (GGA-PBE). Values from VASP.

Total energy   -29.3 eV per cell
Raw formation energy   0.1911 eV per atom
Density of states at the Fermi level   2.77 states/eV/f.u.
SG   P4/mmm (123)
Size of the total moment   0.41 μB per formula unit

Geometry as Quantum ESPRESSO input:
```
&SYSTEM
  ibrav = 0, nat = 5, ntyp = 4
/
ATOMIC_SPECIES
S 32.06 S.upf
N 14.01 N.upf
Zr 91.22 Zr.upf
Cd 112.41 Cd.upf
CELL_PARAMETERS angstrom
-0.885 -3.623 -1.742
3.307 -1.671 1.794
-3.043 -1.349 4.353
ATOMIC_POSITIONS crystal
S 0.000 0.000 0.500
N 0.000 0.500 0.000
N 0.500 0.000 0.000
Zr 0.000 0.000 0.000
Cd 0.500 0.500 0.500
```

(11)
Entry from Alexandria via LeMat-Bulk: CsNb4Se8 after structural relaxation (GGA-PBE). Values from VASP.

Total energy   -81.1 eV per cell
Raw formation energy   -0.9300 eV per atom
Density of states at the Fermi level   7.73 states/eV/f.u.
SG   R-3m (166)
Size of the total moment   0.00 μB per formula unit

Geometry as Quantum ESPRESSO input:
```
&SYSTEM
  ibrav = 0, nat = 13, ntyp = 3
/
ATOMIC_SPECIES
Cs 132.91 Cs.upf
Nb 92.91 Nb.upf
Se 78.96 Se.upf
CELL_PARAMETERS angstrom
6.980 0.000 0.000
3.490 6.045 0.000
3.490 2.015 9.435
ATOMIC_POSITIONS crystal
Cs 0.500 0.500 0.500
Nb 0.000 0.500 0.000
Nb 0.500 0.500 0.000
Nb 0.500 0.000 0.000
Nb 0.000 0.000 0.000
Se 0.728 0.225 0.821
Se 0.775 0.272 0.179
Se 0.272 0.775 0.179
Se 0.775 0.775 0.179
Se 0.726 0.726 0.821
Se 0.274 0.274 0.179
Se 0.225 0.225 0.821
Se 0.225 0.728 0.821
```

(12)
Entry from Alexandria via LeMat-Bulk: BaSr4Pb5 after structural relaxation (GGA-PBE). Values from VASP.

Total energy   -32.2 eV per cell
Density of states at the Fermi level   6.73 states/eV/f.u.
SG   P4/mmm (123)
Size of the total moment   0.00 μB per formula unit
Energy relative to the elements   -0.503 eV per atom

Geometry as Quantum ESPRESSO input:
```
&SYSTEM
  ibrav = 0, nat = 10, ntyp = 3
/
ATOMIC_SPECIES
Ba 137.33 Ba.upf
Sr 87.62 Sr.upf
Pb 207.20 Pb.upf
CELL_PARAMETERS angstrom
4.184 0.000 0.000
0.000 4.184 0.000
0.000 0.000 20.728
ATOMIC_POSITIONS crystal
Ba 0.000 0.000 0.000
Sr 0.000 0.000 0.207
Sr 0.000 0.000 0.403
Sr 0.000 0.000 0.597
Sr 0.000 0.000 0.793
Pb 0.500 0.500 0.111
Pb 0.500 0.500 0.305
Pb 0.500 0.500 0.500
Pb 0.500 0.500 0.695
Pb 0.500 0.500 0.889
```